[1]
SnAsHRu2 | PBE-GGA | relaxed

## Properties
space group: P4/mmm
excess energy over the best structure of this formula in the dataset: 0.0 kJ per mole of atoms
total DFT energy (no corrections): -0.4229 Ry per atom

a b c (Å): 4.2503 3.8069 4.2503
angles (deg): 90.00 90.00 90.00
Closest atoms and distances in Å follow each position.
Fractional positions:
H 0.0000 0.0000 0.0000  2 As 1.90, 4 Ru 2.13
Sn 0.5000 0.5000 0.5000  8 Ru 2.85, 4 As 3.01
Ru 0.5000 0.0000 0.0000  2 H 2.13
Ru 0.0000 0.0000 0.5000  2 H 2.13
As 0.0000 0.5000 0.0000  2 H 1.90


[2]
LaPbAu2 | PBE-GGA | relaxed

## Properties
space group: P4/mmm
formation energy: -534 meV per atom
total DFT energy (no corrections): -0.3184 Ry per atom

a b c (Å): 4.1674 4.9172 4.9172
angles (deg): 90.00 90.00 90.00
Closest atoms and distances in Å follow each position.
Fractional positions:
Au 0.0000 0.0000 0.5000  4 La 3.22, 4 Pb 3.22, 4 Au 3.48
Au 0.0000 0.5000 0.0000  4 La 3.22, 4 Pb 3.22, 4 Au 3.48
La 0.5000 0.0000 0.0000  8 Au 3.22, 4 Pb 3.48
Pb 0.5000 0.5000 0.5000  8 Au 3.22, 4 La 3.48


[3]
Dy3GaCo8 | PBE-GGA | relaxed

## Properties
space group: R3m
formation energy: -190 meV per atom
total DFT energy (no corrections): -0.4653 Ry per atom

a b c (Å): 4.9800 4.9800 8.6497
angles (deg): 73.27 73.27 60.00
Closest atoms and distances in Å follow each position.
Fractional positions:
Dy 0.5040 0.5040 0.4881  12 Co 2.80-2.94, 3 Ga 3.00, 1 Dy 3.13
Dy 0.3759 0.3759 0.8723  12 Co 2.92-2.98, 4 Dy 3.11-3.13
Dy 0.9941 0.9941 0.0176  12 Co 2.87-3.11, 1 Ga 2.99, 3 Dy 3.11
Co 0.9383 0.4430 0.6803  6 Co 2.47-2.52
Co 0.4368 0.9341 0.1924  6 Co 2.44-2.54
Co 0.4430 0.9383 0.6803  6 Co 2.47-2.52
Co 0.4368 0.4368 0.1924  6 Co 2.44-2.54
Co 0.6882 0.6882 0.9355  6 Co 2.52-2.54
Co 0.9383 0.9383 0.6803  6 Co 2.47-2.52
Co 0.1887 0.1887 0.4339  6 Co 2.44-2.48
Co 0.9341 0.4368 0.1924  6 Co 2.44-2.54
Ga 0.8718 0.8718 0.3846  12 Co 2.80-2.94, 4 Dy 2.99-3.00


Fermi-level density of states per entry: 0.3426; 0.6458; 1.4675 states/eV/atom